An optimized crystal structure of Ac2ScSn2, computed with PBE.

Output
total DFT energy (no corrections): -50.6 eV for the cell shown
M_tot: 0.00 μB/f.u.
calculated volume: 365.1 Å³/cell
formation energy from the elements: -53.39 kJ per mole of atoms

a b c (Å): 4.916 8.355 9.222
angles (deg): 90.00 105.46 90.00
Atoms (fractional coordinates):
1 Ac 0.968 0.729 0.935
2 Ac 0.793 0.391 0.586
3 Ac 0.207 0.891 0.414
4 Ac 0.032 0.229 0.065
5 Sc 0.405 0.082 0.810
6 Sc 0.595 0.582 0.190
7 Sn 0.435 0.436 0.870
8 Sn 0.830 0.997 0.660
9 Sn 0.170 0.497 0.340
10 Sn 0.565 0.936 0.130